# 1
# SrScSe2 PBE optimized geometry
# * formation energy without anion corrections: -1.644 eV/atom
# * DOS(E_F): 1.84 states/eV per cell
# * volume: 102.42 Å³ per cell
# * total DFT energy (no corrections): -5.390 eV per atom
# * theoretical density: 4.71 Mg/m³
data_SrScSe2
_chemical_formula_sum 'Sr1 Sc1 Se2'
_symmetry_space_group_name_H-M 'P 4/m m m'
_symmetry_Int_Tables_number 123
_symmetry_space_group_name_Hall '-P 4 2'
_cell_length_a 4.1707
_cell_length_b 4.1707
_cell_length_c 5.8878
_cell_angle_alpha 90.00
_cell_angle_beta 90.00
_cell_angle_gamma 90.00
loop_
_atom_site_label
_atom_site_type_symbol
_atom_site_fract_x
_atom_site_fract_y
_atom_site_fract_z
_atom_site_occupancy
Sr1 Sr 0.0000 0.0000 0.0000 1
Sc1 Sc 0.5000 0.5000 0.5000 1
Se1 Se 0.0000 0.0000 0.5000 1
Se2 Se 0.5000 0.5000 0.0000 1


# 2
# SrScSe2 PBE optimized geometry
# * formation energy without anion corrections: -1.525 eV/atom
# * DOS(E_F): 1.65 states/eV per cell
# * volume: 110.59 Å³ per cell
# * total DFT energy (no corrections): -5.270 eV per atom
# * theoretical density: 4.36 Mg/m³
data_SrScSe2
_chemical_formula_sum 'Sr1 Sc1 Se2'
_symmetry_space_group_name_H-M 'P 1 2/m 1'
_symmetry_Int_Tables_number 10
_cell_length_a 3.9857
_cell_length_b 3.8018
_cell_length_c 7.2984
_cell_angle_alpha 90.00
_cell_angle_beta 90.09
_cell_angle_gamma 90.00
loop_
_symmetry_equiv_pos_as_xyz
'x,y,z'
'-x,-y,-z'
'-x,y,-z'
'x,-y,z'
loop_
_atom_site_label
_atom_site_type_symbol
_atom_site_fract_x
_atom_site_fract_y
_atom_site_fract_z
_atom_site_occupancy
Sr1 Sr 0.0000 0.0000 0.0000 1
Sc1 Sc 0.5000 0.0000 0.5000 1
Se1 Se 0.4982 0.5000 0.7590 1


# 3
# SrSc2Se PBE optimized geometry
# * formation energy without anion corrections: -0.181 eV/atom
# * DOS(E_F): 10.01 states/eV per cell
# * volume: 208.50 Å³ per cell
# * total DFT energy (no corrections): -4.638 eV per atom
# * theoretical density: 4.09 Mg/m³
data_SrSc2Se
_chemical_formula_sum 'Sr2 Sc4 Se2'
_symmetry_space_group_name_H-M 'I -4 m 2'
_symmetry_Int_Tables_number 119
_symmetry_space_group_name_Hall 'I -4 -2'
_cell_length_a 4.4939
_cell_length_b 4.4939
_cell_length_c 10.3243
_cell_angle_alpha 90.00
_cell_angle_beta 90.00
_cell_angle_gamma 90.00
loop_
_atom_site_label
_atom_site_type_symbol
_atom_site_fract_x
_atom_site_fract_y
_atom_site_fract_z
_atom_site_occupancy
Sr1 Sr 0.0000 0.0000 0.0000 1
Sc1 Sc 0.0000 0.0000 0.5000 1
Sc2 Sc 0.0000 0.5000 0.7500 1
Se1 Se 0.0000 0.5000 0.2500 1


# 4
# Sr3ScSe PBE optimized geometry
# * formation energy without anion corrections: 0.478 eV/atom
# * DOS(E_F): 2.91 states/eV per cell
# * volume: 232.54 Å³ per cell
# * total DFT energy (no corrections): -2.494 eV per atom
# * theoretical density: 2.76 Mg/m³
data_Sr3ScSe
_chemical_formula_sum 'Sr3 Sc1 Se1'
_symmetry_space_group_name_H-M 'P m -3 m'
_symmetry_Int_Tables_number 221
_symmetry_space_group_name_Hall '-P 4 2 3'
_cell_length_a 6.1494
_cell_length_b 6.1494
_cell_length_c 6.1494
_cell_angle_alpha 90.00
_cell_angle_beta 90.00
_cell_angle_gamma 90.00
loop_
_atom_site_label
_atom_site_type_symbol
_atom_site_fract_x
_atom_site_fract_y
_atom_site_fract_z
_atom_site_occupancy
Sr1 Sr 0.0000 0.0000 0.5000 1
Sc1 Sc 0.0000 0.0000 0.0000 1
Se1 Se 0.5000 0.5000 0.5000 1


# 5
# SrSc2Se2 PBE optimized geometry
# * formation energy without anion corrections: -1.181 eV/atom
# * DOS(E_F): 7.01 states/eV per cell
# * volume: 245.82 Å³ per cell
# * total DFT energy (no corrections): -5.444 eV per atom
# * theoretical density: 4.53 Mg/m³
data_SrSc2Se2
_chemical_formula_sum 'Sr2 Sc4 Se4'
_symmetry_space_group_name_H-M 'I 4/m m m'
_symmetry_Int_Tables_number 139
_symmetry_space_group_name_Hall '-I 4 2'
_cell_length_a 4.2041
_cell_length_b 4.2041
_cell_length_c 13.9084
_cell_angle_alpha 90.00
_cell_angle_beta 90.00
_cell_angle_gamma 90.00
loop_
_atom_site_label
_atom_site_type_symbol
_atom_site_fract_x
_atom_site_fract_y
_atom_site_fract_z
_atom_site_occupancy
Sr1 Sr 0.0000 0.0000 0.0000 1
Sc1 Sc 0.0000 0.5000 0.2500 1
Se1 Se 0.0000 0.0000 0.3805 1


# 6
# SrSc2Se PBE optimized geometry
# * formation energy without anion corrections: -0.472 eV/atom
# * DOS(E_F): 8.36 states/eV per cell
# * volume: 224.39 Å³ per cell
# * total DFT energy (no corrections): -4.930 eV per atom
# * theoretical density: 3.80 Mg/m³
data_SrSc2Se
_chemical_formula_sum 'Sr2 Sc4 Se2'
_symmetry_space_group_name_H-M 'C m m m'
_symmetry_Int_Tables_number 65
_symmetry_space_group_name_Hall '-C 2 2'
_cell_length_a 4.0906
_cell_length_b 5.8058
_cell_length_c 9.4483
_cell_angle_alpha 90.00
_cell_angle_beta 90.00
_cell_angle_gamma 90.00
loop_
_atom_site_label
_atom_site_type_symbol
_atom_site_fract_x
_atom_site_fract_y
_atom_site_fract_z
_atom_site_occupancy
Sr1 Sr 0.0000 0.0000 0.0000 1
Sc1 Sc 0.0000 0.5000 0.3181 1
Se1 Se 0.0000 0.0000 0.5000 1


# 7
# SrSc4Se6 PBE optimized geometry
# * formation energy without anion corrections: -1.741 eV/atom
# * DOS(E_F): 17.99 states/eV per cell
# * volume: 1026.87 Å³ per cell
# * total DFT energy (no corrections): -6.096 eV per atom
# * theoretical density: 4.79 Mg/m³
data_SrSc4Se6
_chemical_formula_sum 'Sr4 Sc16 Se24'
_symmetry_space_group_name_H-M 'C m c m'
_symmetry_Int_Tables_number 63
_symmetry_space_group_name_Hall '-C 2c 2'
_cell_length_a 3.9422
_cell_length_b 12.8447
_cell_length_c 20.2792
_cell_angle_alpha 90.00
_cell_angle_beta 90.00
_cell_angle_gamma 90.00
loop_
_atom_site_label
_atom_site_type_symbol
_atom_site_fract_x
_atom_site_fract_y
_atom_site_fract_z
_atom_site_occupancy
Sr1 Sr 0.0000 0.1584 0.2500 1
Sc1 Sc 0.0000 0.0934 0.6263 1
Sc2 Sc 0.0000 0.3610 0.5388 1
Se1 Se 0.0000 0.0000 0.0000 1
Se2 Se 0.0000 0.1618 0.7500 1
Se3 Se 0.0000 0.2698 0.0850 1
Se4 Se 0.0000 0.4574 0.6563 1


# 8
# SrSc2Se4 PBE optimized geometry
# * formation energy without anion corrections: -1.826 eV/atom
# * volume: 701.92 Å³ per cell
# * total DFT energy (no corrections): -5.866 eV per atom
# * theoretical density: 4.67 Mg/m³
data_SrSc2Se4
_chemical_formula_sum 'Sr4 Sc8 Se16'
_symmetry_space_group_name_H-M 'P n m a'
_symmetry_Int_Tables_number 62
_cell_length_a 12.2864
_cell_length_b 3.9713
_cell_length_c 14.3858
_cell_angle_alpha 90.00
_cell_angle_beta 90.00
_cell_angle_gamma 90.00
loop_
_symmetry_equiv_pos_as_xyz
'x,y,z'
'-x,-y,-z'
'-x+1/2,-y,z+1/2'
'x+1/2,y,-z+1/2'
'x+1/2,-y+1/2,-z+1/2'
'-x+1/2,y+1/2,z+1/2'
'-x,y+1/2,-z'
'x,-y+1/2,z'
loop_
_atom_site_label
_atom_site_type_symbol
_atom_site_fract_x
_atom_site_fract_y
_atom_site_fract_z
_atom_site_occupancy
Sr1 Sr 0.2376 0.2500 0.1696 1
Sc1 Sc 0.0569 0.2500 0.3901 1
Sc2 Sc 0.0818 0.2500 0.9033 1
Se1 Se 0.0298 0.7500 0.7847 1
Se2 Se 0.0897 0.2500 0.5746 1
Se3 Se 0.1240 0.7500 0.0287 1
Se4 Se 0.2026 0.7500 0.3409 1


# 9
# Sr2ScSe PBE optimized geometry
# * formation energy without anion corrections: -0.340 eV/atom
# * DOS(E_F): 4.60 states/eV per cell
# * volume: 128.13 Å³ per cell
# * total DFT energy (no corrections): -3.635 eV per atom
# * theoretical density: 3.88 Mg/m³
data_Sr2ScSe
_chemical_formula_sum 'Sr2 Sc1 Se1'
_symmetry_space_group_name_H-M 'P m m m'
_symmetry_Int_Tables_number 47
_cell_length_a 4.0710
_cell_length_b 5.6045
_cell_length_c 5.6157
_cell_angle_alpha 90.00
_cell_angle_beta 90.00
_cell_angle_gamma 90.00
loop_
_symmetry_equiv_pos_as_xyz
'x,y,z'
'-x,-y,-z'
'-x,-y,z'
'x,y,-z'
'x,-y,-z'
'-x,y,z'
'-x,y,-z'
'x,-y,z'
loop_
_atom_site_label
_atom_site_type_symbol
_atom_site_fract_x
_atom_site_fract_y
_atom_site_fract_z
_atom_site_occupancy
Sr1 Sr 0.0000 0.0000 0.0000 1
Sr2 Sr 0.0000 0.5000 0.5000 1
Sc1 Sc 0.5000 0.0000 0.5000 1
Se1 Se 0.5000 0.5000 0.0000 1


# 10
# Sr2ScSe PBE optimized geometry
# * formation energy without anion corrections: -0.494 eV/atom
# * DOS(E_F): 14.28 states/eV per cell
# * volume: 638.96 Å³ per cell
# * total DFT energy (no corrections): -3.789 eV per atom
# * theoretical density: 3.11 Mg/m³
data_Sr2ScSe
_chemical_formula_sum 'Sr8 Sc4 Se4'
_symmetry_space_group_name_H-M 'I -4 2 d'
_symmetry_Int_Tables_number 122
_symmetry_space_group_name_Hall 'I -4 2bw'
_cell_length_a 11.1262
_cell_length_b 11.1262
_cell_length_c 5.1615
_cell_angle_alpha 90.00
_cell_angle_beta 90.00
_cell_angle_gamma 90.00
loop_
_atom_site_label
_atom_site_type_symbol
_atom_site_fract_x
_atom_site_fract_y
_atom_site_fract_z
_atom_site_occupancy
Sr1 Sr 0.1115 0.7500 0.1250 1
Sc1 Sc 0.0000 0.0000 0.5000 1
Se1 Se 0.0000 0.0000 0.0000 1